CsAg2C2O6: relaxed, PBE.

Cell: 5.6596 6.0972 7.0998 Å, 67.16 67.17 82.19°
Positions (direct):
Cs1 0.0000 0.0000 0.0000
Ag1 0.1710 0.6869 0.5568
Ag2 0.8290 0.3131 0.4432
C1 0.3597 0.2447 0.3385
C2 0.6403 0.7553 0.6615
O1 0.2064 0.3453 0.4753
O2 0.2553 0.1398 0.2633
O3 0.3957 0.7499 0.7179
O4 0.6043 0.2501 0.2821
O5 0.7447 0.8602 0.7367
O6 0.7936 0.6547 0.5247

Output
* formation energy from raw total energies: -103.55 kJ/mol of atoms
* M_tot: 0.00 μB/f.u.
* calculated density: 3.74 g/cm³